Below is Zr2AlNi after structural relaxation, with properties calculated at the PBE-GGA level.

abc: 5.2932 5.4745 5.5261
angles: 71.30 74.70 84.18
Fractional positions:
Zr (0.7331, 0.3424, 0.1264)
Zr (0.1532, 0.2478, 0.5335)
Ni (0.3983, 0.7007, 0.3500)
Ni (0.6017, 0.2993, 0.6500)
Al (0.7409, 0.8957, 0.9355)
Zr (0.2669, 0.6576, 0.8736)
Al (0.2591, 0.1043, 0.0645)
Zr (0.8468, 0.7522, 0.4665)

Results
Crystal system   triclinic

Below is ZrAlNi2 after structural relaxation, with properties calculated at the PBE-GGA level.

abc: 4.3515 4.3515 4.3515
angles: 60.00 60.00 60.00
Fractional positions:
Zr (0.2500, 0.2500, 0.2500)
Ni (0.5000, 0.5000, 0.5000)
Ni (0.7500, 0.7500, 0.7500)
Al (0.0000, 0.0000, 0.0000)

Results
Crystal system   cubic

Below is Zr2AlNi after structural relaxation, with properties calculated at the PBE-GGA level.

abc: 3.0331 3.0331 9.6351
angles: 90.00 90.00 120.00
Fractional positions:
Zr (0.6667, 0.3333, 0.2241)
Ni (0.0000, 0.0000, 0.0064)
Zr (0.3333, 0.6667, 0.7853)
Al (0.6667, 0.3333, 0.5292)

Results
Crystal system   trigonal

Below is ZrAlNi2 after structural relaxation, with properties calculated at the PBE-GGA level.

abc: 3.9750 3.9750 8.7450
angles: 76.86 76.86 90.00
Fractional positions:
Al (0.5000, 0.5000, 0.0000)
Ni (0.5634, 0.1250, 0.2500)
Ni (0.3750, 0.4366, 0.7500)
Zr (0.7500, 0.2500, 0.5000)
Ni (0.8750, 0.8134, 0.7500)
Zr (0.0000, 0.0000, 0.0000)
Al (0.2500, 0.7500, 0.5000)
Ni (0.1866, 0.6250, 0.2500)

Results
Crystal system   tetragonal

Below is Zr2AlNi2 after structural relaxation, with properties calculated at the PBE-GGA level.

abc: 4.8376 4.8376 7.7550
angles: 90.00 90.00 90.00
Fractional positions:
Zr (0.5000, 0.5000, 0.5000)
Zr (0.0000, 0.5000, 0.1635)
Ni (0.0000, 0.0000, 0.0000)
Al (0.0000, 0.5000, 0.8065)
Zr (0.5000, 0.0000, 0.8365)
Al (0.5000, 0.0000, 0.1935)
Ni (0.5000, 0.5000, 0.0000)
Zr (0.0000, 0.0000, 0.5000)
Ni (0.5000, 0.0000, 0.4990)
Ni (0.0000, 0.5000, 0.5010)

Results
Crystal system   tetragonal

Below is ZrAl2Ni after structural relaxation, with properties calculated at the PBE-GGA level.

abc: 5.5117 5.5117 4.9332
angles: 63.43 63.43 29.37
Fractional positions:
Al (0.4654, 0.4654, 0.5352)
Zr (0.2500, 0.2500, 0.2500)
Ni (0.7500, 0.7500, 0.7500)
Al (0.0346, 0.0346, 0.9648)

Results
Crystal system   orthorhombic

ΔH_f (0 K) across the listed records, respectively: -0.41 -0.28 0.10 0.01 -0.15 -0.35 eV per atom.